w) The following is a GGA+U calculation of crystalline NbCrIO2 at its relaxed geometry, from the Alexandria database.

Structure (CIF):
```
data_NbCrIO2
_chemical_formula_sum 'Nb1 Cr1 I1 O2'
_cell_length_a 3.9676
_cell_length_b 3.9676
_cell_length_c 5.4736
_cell_angle_alpha 90.00
_cell_angle_beta 90.00
_cell_angle_gamma 90.00
_symmetry_space_group_name_H-M 'P 4/m m m'
_symmetry_Int_Tables_number 123
_symmetry_space_group_name_Hall '-P 4 2'
loop_
_atom_site_label
_atom_site_type_symbol
_atom_site_fract_x
_atom_site_fract_y
_atom_site_fract_z
Nb1 Nb 0.0000 0.0000 0.0000
Cr1 Cr 0.5000 0.5000 0.5000
I1 I 0.5000 0.5000 0.0000
O1 O 0.0000 0.5000 0.5000
```

Computed properties:
Spin magnetization (μB/f.u.): 5.6

***

x) The following is a GGA+U calculation of crystalline NbCrIO2 at its relaxed geometry, from the Alexandria database.

Structure (CIF):
```
data_NbCrIO2
_chemical_formula_sum 'Nb1 Cr1 I1 O2'
_cell_length_a 4.0110
_cell_length_b 4.0110
_cell_length_c 6.1524
_cell_angle_alpha 90.00
_cell_angle_beta 90.00
_cell_angle_gamma 90.00
_symmetry_space_group_name_H-M 'P 4/m m m'
_symmetry_Int_Tables_number 123
_symmetry_space_group_name_Hall '-P 4 2'
loop_
_atom_site_label
_atom_site_type_symbol
_atom_site_fract_x
_atom_site_fract_y
_atom_site_fract_z
Nb1 Nb 0.0000 0.0000 0.0000
Cr1 Cr 0.5000 0.5000 0.5000
I1 I 0.0000 0.0000 0.5000
O1 O 0.0000 0.5000 0.0000
```

Computed properties:
Spin magnetization (μB/f.u.): 4.9

***

Taking the most stable structure as the zero point, the relative energies in meV per atom are w) 1045; x) 0.